## BaInH8Pd2 (GGA-PBE)

Data for an optimized crystal structure of BaInH8Pd2.

Values from the calculation:
calculated total energy = -3.46 eV/atom
space-group type = P-3
DOS at the Fermi energy = 4.27 states/eV/f.u.
ρ = 5.332 Mg/m³

a b c (Å): 4.9049 4.9049 7.0707
angles (deg): 90.00 90.00 120.00
Positions (direct):
H 0.3306 0.0150 0.6825
H 0.6667 0.3333 0.0949
H 0.9850 0.3156 0.6825
Ba 0.0000 0.0000 0.0000
H 0.0150 0.6844 0.3175
H 0.3156 0.3306 0.3175
H 0.6694 0.9850 0.3175
H 0.6844 0.6694 0.6825
In 0.0000 0.0000 0.5000
Pd 0.6667 0.3333 0.3251
H 0.3333 0.6667 0.9051
Pd 0.3333 0.6667 0.6749

***

## BaInH2Pd (GGA-PBE)

Data for an optimized crystal structure of BaInH2Pd.

Values from the calculation:
calculated total energy = -2.87 eV/atom
space-group type = P4/mmm
DOS at the Fermi energy = 2.80 states/eV/f.u.
ρ = 4.335 Mg/m³

a b c (Å): 4.3354 7.3491 4.3354
angles (deg): 90.00 90.00 90.00
Positions (direct):
H 0.0000 0.0000 0.5000
Pd 0.5000 0.5000 0.5000
Ba 0.0000 0.0000 0.0000
In 0.0000 0.5000 0.0000
H 0.5000 0.0000 0.0000

***

## BaInHRh2 (GGA-PBE)

Data for an optimized crystal structure of BaInHRh2.

Values from the calculation:
calculated total energy = -4.81 eV/atom
space-group type = Cmcm
energy above the lowest structure with this stoichiometry = 0.000 eV/atom
DOS at the Fermi energy = 1.97 states/eV/f.u.
ρ = 7.897 Mg/m³

a b c (Å): 4.5310 6.4877 7.0072
angles (deg): 90.00 90.00 110.44
Positions (direct):
In 0.2898 0.5796 0.2500
Ba 0.5684 0.1367 0.2500
Rh 0.1466 0.2933 0.9480
H 0.0000 0.0000 0.5000
Rh 0.8534 0.7067 0.0520
Ba 0.4316 0.8633 0.7500
Rh 0.1466 0.2933 0.5520
H 0.0000 0.0000 0.0000
In 0.7102 0.4204 0.7500
Rh 0.8534 0.7067 0.4480

***

## Ba2InH12Rh3 (GGA-PBE)

Data for an optimized crystal structure of Ba2InH12Rh3.

Values from the calculation:
calculated total energy = -4.08 eV/atom
space-group type = R-3m
DOS at the Fermi energy = 4.64 states/eV/f.u.
ρ = 6.064 Mg/m³

a b c (Å): 6.4027 6.4027 6.4027
angles (deg): 62.15 62.15 62.15
Positions (direct):
H 0.8975 0.3769 0.8975
In 0.0000 0.0000 0.0000
H 0.6851 0.0930 0.6851
Rh 0.0000 0.5000 0.0000
H 0.9070 0.3149 0.3149
H 0.6851 0.6851 0.0930
H 0.1025 0.6231 0.1025
H 0.3149 0.9070 0.3149
Ba 0.3824 0.3824 0.3824
H 0.0930 0.6851 0.6851
H 0.3769 0.8975 0.8975
Rh 0.0000 0.0000 0.5000
H 0.3149 0.3149 0.9070
Rh 0.5000 0.0000 0.0000
H 0.6231 0.1025 0.1025
H 0.1025 0.1025 0.6231
H 0.8975 0.8975 0.3769
Ba 0.6176 0.6176 0.6176

***

## BaInH8Rh2 (GGA-PBE)

Data for an optimized crystal structure of BaInH8Rh2.

Values from the calculation:
calculated total energy = -3.92 eV/atom
space-group type = P-3
DOS at the Fermi energy = 2.00 states/eV/f.u.
ρ = 5.711 Mg/m³

a b c (Å): 4.7545 4.7545 6.9211
angles (deg): 90.00 90.00 120.00
Positions (direct):
H 0.6667 0.3333 0.1200
Ba 0.0000 0.0000 0.0000
H 0.6365 0.6037 0.6902
H 0.3333 0.6667 0.8800
H 0.9672 0.3635 0.6902
Rh 0.3333 0.6667 0.6490
H 0.3635 0.3963 0.3098
H 0.3963 0.0328 0.6902
H 0.6037 0.9672 0.3098
In 0.0000 0.0000 0.5000
Rh 0.6667 0.3333 0.3510
H 0.0328 0.6365 0.3098

***

## BaIn2HRh (GGA-PBE)

Data for an optimized crystal structure of BaIn2HRh.

Values from the calculation:
calculated total energy = -2.50 eV/atom
space-group type = P4/mmm
DOS at the Fermi energy = 5.80 states/eV/f.u.
ρ = 4.994 Mg/m³

a b c (Å): 6.1473 4.1433 6.1473
angles (deg): 90.00 90.00 90.00
Site moments in Bohr magnetons follow the coordinates.
Positions (direct):
In 0.5000 0.0000 0.0000  -0.03
Ba 0.0000 0.0000 0.0000  -0.04
H 0.0000 0.5000 0.0000  -0.01
Rh 0.5000 0.5000 0.5000  0.59
In 0.0000 0.0000 0.5000  -0.02

***

## BaInHRh2 (GGA-PBE)

Data for an optimized crystal structure of BaInHRh2.

Values from the calculation:
calculated total energy = -4.17 eV/atom
space-group type = P4/mmm
energy above the lowest structure with this stoichiometry = 0.640 eV/atom
DOS at the Fermi energy = 1.76 states/eV/f.u.
ρ = 7.148 Mg/m³

a b c (Å): 5.1644 3.9978 5.1644
angles (deg): 90.00 90.00 90.00
Positions (direct):
H 0.0000 0.5000 0.0000
Ba 0.5000 0.5000 0.5000
Rh 0.5000 0.0000 0.0000
Rh 0.0000 0.0000 0.5000
In 0.0000 0.0000 0.0000

***

## BaInH6Ru (GGA-PBE)

Data for an optimized crystal structure of BaInH6Ru.

Values from the calculation:
calculated total energy = -3.97 eV/atom
space-group type = P-6m2
DOS at the Fermi energy = 1.35 states/eV/f.u.
ρ = 5.681 Mg/m³

a b c (Å): 4.9259 4.9260 4.9972
angles (deg): 90.00 90.00 60.00
Positions (direct):
Ba 0.0000 0.0000 0.0000
In 0.6666 0.6667 0.5000
H 0.4740 0.4747 0.2525
H 0.4747 0.0512 0.2525
Ru 0.3333 0.3333 0.5000
H 0.4746 0.4741 0.7475
H 0.0512 0.4747 0.7475
H 0.0512 0.4741 0.2525
H 0.4741 0.0513 0.7475

***

## Ba2InH6Ru (GGA-PBE)

Data for an optimized crystal structure of Ba2InH6Ru.

Values from the calculation:
calculated total energy = -3.92 eV/atom
space-group type = P-3m1
DOS at the Fermi energy = 2.59 states/eV/f.u.
ρ = 4.624 Mg/m³

a b c (Å): 7.0623 5.3998 5.3998
angles (deg): 120.00 90.00 90.00
Site moments in Bohr magnetons follow the coordinates.
Positions (direct):
Ba 0.1871 0.3333 0.6667  0.03
H 0.8623 0.1532 0.8468  0.00
In 0.5000 0.0000 0.0000  0.10
H 0.8623 0.1532 0.3064  0.00
Ru 0.0000 0.0000 0.0000  0.04
H 0.1377 0.3064 0.1532  0.00
Ba 0.8129 0.6667 0.3333  0.03
H 0.1377 0.8468 0.1532  0.00
H 0.8623 0.6936 0.8468  0.00
H 0.1377 0.8468 0.6936  0.00

***

## Ba2InSb2H2 (GGA-PBE)

Data for an optimized crystal structure of Ba2InSb2H2.

Values from the calculation:
calculated total energy = -3.44 eV/atom
space-group type = I4/mmm
DOS at the Fermi energy = 3.92 states/eV/f.u.
ρ = 5.495 Mg/m³

a b c (Å): 4.7847 4.7847 9.0396
angles (deg): 105.35 105.35 90.00
Positions (direct):
Ba 0.6233 0.6233 0.2467
H 0.5000 0.0000 0.0000
Sb 0.8293 0.8293 0.6585
In 0.0000 0.0000 0.0000
Sb 0.1707 0.1707 0.3415
H 0.0000 0.5000 0.0000
Ba 0.3767 0.3767 0.7533

***

## BaInSbH2 (GGA-PBE)

Data for an optimized crystal structure of BaInSbH2.

Values from the calculation:
calculated total energy = -3.40 eV/atom
space-group type = Cmcm
DOS at the Fermi energy = 0.80 states/eV/f.u.
ρ = 5.757 Mg/m³

a b c (Å): 4.3572 6.6147 7.9691
angles (deg): 90.00 90.00 109.23
Positions (direct):
H 0.1594 0.3188 0.5633
Sb 0.4439 0.8878 0.7500
Ba 0.7212 0.4424 0.7500
H 0.1594 0.3188 0.9367
H 0.8406 0.6812 0.4367
H 0.8406 0.6812 0.0633
In 0.0000 0.0000 0.0000
Sb 0.5561 0.1122 0.2500
Ba 0.2788 0.5576 0.2500
In 0.0000 0.0000 0.5000

***

## BaInSbH (GGA-PBE)

Data for an optimized crystal structure of BaInSbH.

Values from the calculation:
calculated total energy = -3.45 eV/atom
space-group type = P6_3mc
DOS at the Fermi energy = 2.02 states/eV/f.u.
ρ = 5.074 Mg/m³

a b c (Å): 5.0703 5.0703 11.0218
angles (deg): 90.00 90.00 120.00
Positions (direct):
Ba 0.6667 0.3333 0.4130
Ba 0.3333 0.6667 0.9130
In 0.0000 0.0000 0.6740
Sb 0.6667 0.3333 0.7261
In 0.0000 0.0000 0.1740
H 0.0000 0.0000 0.9993
Sb 0.3333 0.6667 0.2261
H 0.0000 0.0000 0.4993

***

## Ba2SrInH (GGA-PBE)

Data for an optimized crystal structure of Ba2SrInH.

Values from the calculation:
calculated total energy = -2.49 eV/atom
space-group type = P4/mmm
energy above the lowest structure with this stoichiometry = 0.122 eV/atom
DOS at the Fermi energy = 1.78 states/eV/f.u.
ρ = 4.595 Mg/m³

a b c (Å): 5.7854 5.1619 5.7854
angles (deg): 90.00 90.00 90.00
Positions (direct):
Ba 0.5000 0.0000 0.0000
Ba 0.0000 0.0000 0.5000
In 0.0000 0.5000 0.0000
H 0.0000 0.0000 0.0000
Sr 0.5000 0.5000 0.5000

***

## BaSr2InH (GGA-PBE)

Data for an optimized crystal structure of BaSr2InH.

Values from the calculation:
calculated total energy = -2.52 eV/atom
space-group type = Cmcm
energy above the lowest structure with this stoichiometry = 0.053 eV/atom
DOS at the Fermi energy = 1.22 states/eV/f.u.
ρ = 4.365 Mg/m³

a b c (Å): 7.6912 8.0732 6.6223
angles (deg): 127.56 90.00 90.00
Positions (direct):
H 0.2500 0.0420 0.0841
Ba 0.2500 0.2831 0.5661
Sr 0.0000 0.7824 0.0000
H 0.7500 0.9580 0.9159
Ba 0.7500 0.7169 0.4339
Sr 0.0000 0.2176 0.0000
In 0.7500 0.2886 0.5772
In 0.2500 0.7114 0.4228
Sr 0.5000 0.7824 0.0000
Sr 0.5000 0.2176 0.0000

***

## BaSr2InH (GGA-PBE)

Data for an optimized crystal structure of BaSr2InH.

Values from the calculation:
calculated total energy = -2.57 eV/atom
space-group type = P4/mmm
energy above the lowest structure with this stoichiometry = 0.000 eV/atom
DOS at the Fermi energy = 2.62 states/eV/f.u.
ρ = 4.373 Mg/m³

a b c (Å): 5.4392 5.4392 5.4988
angles (deg): 90.00 90.00 90.00
Positions (direct):
Ba 0.0000 0.0000 0.5000
H 0.0000 0.0000 0.0000
In 0.5000 0.5000 0.5000
Sr 0.0000 0.5000 0.0000
Sr 0.5000 0.0000 0.0000

***

## BaSr2InH2 (GGA-PBE)

Data for an optimized crystal structure of BaSr2InH2.

Values from the calculation:
calculated total energy = -2.86 eV/atom
space-group type = P2_1/m
DOS at the Fermi energy = 4.61 states/eV/f.u.
ρ = 3.944 Mg/m³

a b c (Å): 5.8567 7.7601 8.3656
angles (deg): 108.00 90.00 90.00
Site moments in Bohr magnetons follow the coordinates.
Positions (direct):
Sr 0.2500 0.1252 0.3990  0.04
Sr 0.7500 0.8748 0.6010  0.04
H 0.5040 0.1246 0.1697  0.00
In 0.2500 0.6554 0.3103  0.16
H 0.0040 0.8754 0.8303  0.00
Ba 0.2500 0.1796 0.9286  0.04
H 0.4960 0.8754 0.8303  0.00
Sr 0.7500 0.3862 0.2795  0.04
Ba 0.7500 0.8204 0.0714  0.04
In 0.7500 0.3446 0.6897  0.16
H 0.9960 0.1246 0.1697  0.00
Sr 0.2500 0.6138 0.7205  0.04

***

## Ba2SrInH (GGA-PBE)

Data for an optimized crystal structure of Ba2SrInH.

Values from the calculation:
calculated total energy = -2.61 eV/atom
space-group type = P4/mmm
energy above the lowest structure with this stoichiometry = 0.000 eV/atom
DOS at the Fermi energy = 3.84 states/eV/f.u.
ρ = 4.626 Mg/m³

a b c (Å): 5.5829 5.5829 5.5055
angles (deg): 90.00 90.00 90.00
Positions (direct):
Ba 0.5000 0.0000 0.0000
Ba 0.0000 0.5000 0.0000
In 0.5000 0.5000 0.5000
Sr 0.0000 0.0000 0.5000
H 0.0000 0.0000 0.0000

***

## BaTlIn2H (GGA-PBE)

Data for an optimized crystal structure of BaTlIn2H.

Values from the calculation:
calculated total energy = -2.77 eV/atom
space-group type = P4/mmm
DOS at the Fermi energy = 2.15 states/eV/f.u.
ρ = 7.200 Mg/m³

a b c (Å): 5.0936 5.0936 5.0881
angles (deg): 90.00 90.00 90.00
Positions (direct):
Ba 0.0000 0.0000 0.5000
In 0.5000 0.0000 0.0000
H 0.0000 0.0000 0.0000
In 0.0000 0.5000 0.0000
Tl 0.5000 0.5000 0.5000

***

## BaTl2InH (GGA-PBE)

Data for an optimized crystal structure of BaTl2InH.

Values from the calculation:
calculated total energy = -2.69 eV/atom
space-group type = P4/mmm
DOS at the Fermi energy = 2.14 states/eV/f.u.
ρ = 8.024 Mg/m³

a b c (Å): 5.1986 5.1986 5.0687
angles (deg): 90.00 90.00 90.00
Positions (direct):
Ba 0.0000 0.0000 0.5000
H 0.0000 0.0000 0.0000
Tl 0.5000 0.0000 0.0000
In 0.5000 0.5000 0.5000
Tl 0.0000 0.5000 0.0000

***

## Ba2YInH (GGA-PBE)

Data for an optimized crystal structure of Ba2YInH.

Values from the calculation:
calculated total energy = -3.43 eV/atom
space-group type = P4/mmm
DOS at the Fermi energy = 5.05 states/eV/f.u.
ρ = 5.189 Mg/m³

a b c (Å): 5.2829 5.2829 5.4966
angles (deg): 90.00 90.00 90.00
Site moments in Bohr magnetons follow the coordinates.
Positions (direct):
In 0.5000 0.5000 0.5000  -0.01
Ba 0.5000 0.0000 0.0000  0.03
Y 0.0000 0.0000 0.5000  0.12
H 0.0000 0.0000 0.0000  0.00
Ba 0.0000 0.5000 0.0000  0.03